# 1
## ScOs2Pb (GGA-PBE)

Data for a relaxed structure of ScOs2Pb.

Properties
* size of the total moment: 0.0 μB/f.u.
* V: 20.61 A^3/atom
* energy of formation: 677 meV/atom
* DOS at the Fermi energy: 8.45 states/eV/cell

a b c (Å): 9.7925 9.7925 9.7925
angles (deg): 155.21 155.21 35.34
Last column: nearest neighbours and their distance in Å.
Element x y z (fractional)
1 Sc 0.0000 0.0000 0.0000  4 Os 2.65
2 Sc 0.7500 0.2500 0.5000  4 Os 2.65
3 Os 0.0412 0.6250 0.9162  2 Os 2.52, 2 Sc 2.65
4 Os 0.3750 0.2912 0.4162  2 Os 2.52, 2 Sc 2.65
5 Os 0.7088 0.1250 0.0838  2 Os 2.52, 2 Sc 2.65
6 Os 0.8750 0.9588 0.5838  2 Os 2.52, 2 Sc 2.65
7 Pb 0.2500 0.7500 0.5000  4 Os 2.92, 4 Sc 2.97
8 Pb 0.5000 0.5000 0.0000  4 Os 2.92, 4 Sc 2.97

---

# 2
## Pm4Te2PS (GGA-PBE)

Data for a relaxed structure of Pm4Te2PS.

Properties
* size of the total moment: 0.0 μB/f.u.
* V: 27.66 A^3/atom
* raw formation energy: -1.670 eV/atom
* DOS at the Fermi energy: 2.47 states/eV/cell

a b c (Å): 7.2723 4.2066 7.6311
angles (deg): 90.00 108.57 90.00
Last column: nearest neighbours and their distance in Å.
Element x y z (fractional)
1 Pm 0.2336 0.0000 0.2100  2 P 2.85, 1 S 2.88, 1 Te 3.19
2 Pm 0.2608 0.5000 0.7909  1 P 2.84, 2 S 2.87
3 Pm 0.7392 0.5000 0.2091  1 P 2.84, 2 S 2.87
4 Pm 0.7664 0.0000 0.7900  2 P 2.85, 1 S 2.88, 1 Te 3.19
5 Te 0.0000 0.0000 0.5000  6 Pm 3.19-3.20
6 Te 0.5000 0.5000 0.5000  6 Pm 3.22-3.23
7 P 0.0000 0.5000 0.0000  6 Pm 2.84-2.85
8 S 0.5000 0.0000 0.0000  6 Pm 2.87-2.88

---

# 3
## TmLuSc2 (GGA-PBE)

Data for a relaxed structure of TmLuSc2.

Properties
* size of the total moment: 0.0 μB/f.u.
* V: 27.03 A^3/atom
* energy of formation: 55 meV/atom
* DOS at the Fermi energy: 7.72 states/eV/cell

a b c (Å): 4.7904 4.7904 4.7113
angles (deg): 90.00 90.00 90.00
Last column: nearest neighbours and their distance in Å.
Element x y z (fractional)
1 Tm 0.0000 0.0000 0.0000  8 Sc 3.36, 4 Lu 3.39
2 Lu 0.5000 0.5000 0.0000  8 Sc 3.36, 4 Tm 3.39
3 Sc 0.0000 0.5000 0.5000  4 Lu 3.36, 4 Tm 3.36, 4 Sc 3.39
4 Sc 0.5000 0.0000 0.5000  4 Lu 3.36, 4 Tm 3.36, 4 Sc 3.39